# CoHg4W

A geometry-optimized CoHg4W structure (GGA-PBE, Alexandria via LeMat-Bulk).

a b c (Å): 5.590 5.590 5.590
angles (deg): 60.00 60.00 60.00
Sites, in units of the cell vectors:
Hg: 0.875 0.375 0.375
Hg: 0.375 0.875 0.375
Co: 0.000 0.000 0.000
Hg: 0.375 0.375 0.875
Hg: 0.375 0.375 0.375
W: 0.750 0.750 0.750

Properties
Total DFT energy (no corrections): -2.2985 eV/atom
SG: F-43m (216)
DFT formation energy: 1.246 eV per atom